Entry 1:
The following is a PBE calculation of crystalline Ta2NbAs2 at its relaxed geometry, from the Alexandria database.

The space group is P4/mbm (No. 127) and the conventional cell measures 7.0905, 7.0905 and 3.4010 Å, with angles of 90.00, 90.00 and 90.00 degrees. The asymmetric unit holds Ta at (0.1469, 0.3531, 0.0000), Nb at (0.0000, 0.0000, 0.5000) and As at (0.1495, 0.6495, 0.5000).

Its volume is 171.0 Å³/cell. The formation energy comes out at -286 meV/atom. Its raw total energy is -89.01 eV/cell. Its crystal system is tetragonal.

***

Entry 2:
The following is a PBE calculation of crystalline NbBiW2 at its relaxed geometry, from the Alexandria database.

The space group is I-42d (No. 122) and the conventional cell measures 4.0526, 4.0526 and 20.1177 Å, with angles of 90.00, 90.00 and 90.00 degrees. The asymmetric unit holds Nb at (0.0000, 0.0000, 0.0000), Bi at (0.0000, 0.0000, 0.5000) and W at (0.2051, 0.2500, 0.1250).

Its volume is 330.4 Å³/cell. The formation energy comes out at 1133 meV/atom. Its raw total energy is -141.29 eV/cell. Its crystal system is tetragonal.

***

Entry 3:
The following is a PBE calculation of crystalline BaMgV2Ga at its relaxed geometry, from the Alexandria database.

The space group is P4/mmm (No. 123) and the conventional cell measures 5.1239, 5.1239 and 5.0879 Å, with angles of 90.00, 90.00 and 90.00 degrees. The asymmetric unit holds Ba at (0.0000, 0.0000, 0.0000), Mg at (0.5000, 0.5000, 0.0000), V at (0.0000, 0.5000, 0.5000) and Ga at (0.5000, 0.5000, 0.5000).

Its volume is 133.6 Å³/cell. The formation energy comes out at 649 meV/atom. Its raw total energy is -21.53 eV/cell. Its crystal system is tetragonal.

***

Entry 4:
The following is a PBE calculation of crystalline Ti2NiSb2 at its relaxed geometry, from the Alexandria database.

The space group is P4/mbm (No. 127) and the conventional cell measures 6.9676, 6.9676 and 3.8715 Å, with angles of 90.00, 90.00 and 90.00 degrees. The asymmetric unit holds Ti at (0.1459, 0.3541, 0.0000), Ni at (0.0000, 0.0000, 0.5000) and Sb at (0.1584, 0.6584, 0.5000).

Its volume is 188.0 Å³/cell. Its raw total energy is -61.41 eV/cell. The uncorrected formation energy is -0.18 eV/atom. Its crystal system is tetragonal.

***

Entry 5:
The following is a PBE calculation of crystalline PuNpMn at its relaxed geometry, from the Alexandria database.

The space group is I4mm (No. 107) and the conventional cell measures 3.2344, 3.2344 and 9.2266 Å, with angles of 90.00, 90.00 and 90.00 degrees. The asymmetric unit holds Pu at (0.0000, 0.0000, 0.0000), Np at (0.0000, 0.0000, 0.6334) and Mn at (0.0000, 0.0000, 0.3161).

Its volume is 96.5 Å³/cell. The formation energy comes out at 288 meV/atom. Its raw total energy is -71.16 eV/cell. Its crystal system is tetragonal. For the energy above the lowest structure with this stoichiometry, the calculation gives 0.131 eV per atom.

***

Entry 6:
The following is a PBE calculation of crystalline CaH2Ru at its relaxed geometry, from the Alexandria database.

The space group is I-42d (No. 122) and the conventional cell measures 4.3371, 4.3371 and 10.3232 Å, with angles of 90.00, 90.00 and 90.00 degrees. The asymmetric unit holds Ca at (0.0000, 0.0000, 0.0000), H at (0.1220, 0.2500, 0.6250) and Ru at (0.0000, 0.0000, 0.5000).

Its volume is 194.2 Å³/cell. Its raw total energy is -73.45 eV/cell. Its crystal system is tetragonal. For the energy above the lowest structure with this stoichiometry, the calculation gives 0.000 eV per atom.